A relaxed Ba3MgMo2O9 crystal. Source: Alexandria, functional GGA+U.

a b c (Å): 5.8613 5.8613 7.0729
angles (deg): 90.00 90.00 120.00
Last column: nearest neighbours and their distance in Å.
Element x y z (fractional)
O (0.5000, 0.5000, 0.0000)  2 Mo 2.10
O (0.5000, 0.0000, 0.0000)  2 Mo 2.10
O (0.3423, 0.1711, 0.6768)  1 Mo 1.95, 1 Mg 2.14
O (0.8289, 0.6577, 0.6768)  1 Mo 1.95, 1 Mg 2.14
O (0.0000, 0.5000, 0.0000)  2 Mo 2.10
O (0.1711, 0.8289, 0.3232)  1 Mo 1.95, 1 Mg 2.14
O (0.1711, 0.3423, 0.3232)  1 Mo 1.95, 1 Mg 2.14
O (0.6577, 0.8289, 0.3232)  1 Mo 1.95, 1 Mg 2.14
O (0.8289, 0.1711, 0.6768)  1 Mo 1.95, 1 Mg 2.14
Mg (0.0000, 0.0000, 0.5000)  6 O 2.14
Mo (0.3333, 0.6667, 0.1757)  6 O 1.95-2.10
Mo (0.6667, 0.3333, 0.8243)  6 O 1.95-2.10
Ba (0.6667, 0.3333, 0.3335)  12 O 2.90-2.93
Ba (0.0000, 0.0000, 0.0000)  12 O 2.87-2.93
Ba (0.3333, 0.6667, 0.6665)  12 O 2.90-2.93

## Properties
Energy   -6.799 eV per atom
Theoretical density   6.1 Mg/m³
SG   P-3m1 (164)